! PBE PuVBr6, relaxed; values from VASP
! N(E_F), states/eV per cell: 14.08
! Formation energy (no corrections), eV/atom: -1.150
! Energy, eV/cell: -42.684
&SYSTEM
  ibrav = 0, nat = 8, ntyp = 3
/
ATOMIC_SPECIES
Br 79.90 Br.upf
V 50.94 V.upf
Pu 244.00 Pu.upf
CELL_PARAMETERS angstrom
0.246 -5.571 -3.657
2.669 -2.788 6.258
-7.022 1.746 -1.301
ATOMIC_POSITIONS angstrom
Br -3.158 -2.243 2.704
Br -4.350 -4.172 -0.139
Br 0.243 -2.441 1.438
Br -0.949 -4.370 -1.404
Br -1.607 -5.455 2.001
Br -2.500 -1.157 -0.702
V -2.054 -3.306 0.650
Pu 0.000 0.000 0.000